! CaEr4Tl5 PBE relaxed; values from VASP
! Final energy, eV for the cell shown: -35.47
! Magnetic moment, μB/cell: 0.00
&SYSTEM
  ibrav = 0, nat = 10, ntyp = 3
/
ATOMIC_SPECIES
Er 167.26 Er.upf
Ca 40.08 Ca.upf
Tl 204.38 Tl.upf
CELL_PARAMETERS angstrom
-2.725 -1.717 -1.935
-0.250 -2.623 2.679
-13.216 10.632 9.178
ATOMIC_POSITIONS crystal
Er 0.000 0.000 0.402
Er 0.000 0.000 0.203
Er 0.000 0.000 0.797
Er 0.000 0.000 0.598
Ca 0.000 0.000 0.000
Tl 0.500 0.500 0.500
Tl 0.500 0.500 0.106
Tl 0.500 0.500 0.696
Tl 0.500 0.500 0.894
Tl 0.500 0.500 0.304